Record 1
## Tm6GaSe5 (PBE)

Data for a relaxed structure of Tm6GaSe5.

Lattice parameters (Å, degrees): 7.0079 7.0219 7.0108 59.95 80.44 70.64
Closest atoms and distances in Å follow each position.
Fractional positions:
Tm  0.7582  0.0801  0.3221  1 Ga 2.77, 5 Se 2.86-2.92
Tm  0.2418  0.5979  0.3221  1 Ga 2.77, 5 Se 2.86-2.92
Tm  0.2436  0.2401  0.0000  1 Ga 2.77, 5 Se 2.87-2.95
Tm  0.7564  0.7599  0.0000  1 Ga 2.77, 5 Se 2.87-2.95
Tm  0.7582  0.4021  0.6779  1 Ga 2.77, 5 Se 2.86-2.92
Tm  0.2418  0.9199  0.6779  1 Ga 2.77, 5 Se 2.86-2.92
Se  0.5000  0.1711  0.6578  6 Tm 2.86-2.92
Se  0.0000  0.3340  0.3320  6 Tm 2.87
Se  0.5000  0.5000  0.0000  6 Tm 2.87-2.95
Se  0.0000  0.6660  0.6680  6 Tm 2.87
Se  0.5000  0.8289  0.3422  6 Tm 2.86-2.92
Ga  0.0000  0.0000  0.0000  6 Tm 2.77

## Properties
N(E_F) ... 0.450 states/eV/atom
DFT total energy ... -5.48 eV/atom
ΔE_f (raw) ... -148.5 kJ per mole of atoms

=====

Record 2
## TmGaSe (PBE)

Data for a relaxed structure of TmGaSe.

Lattice parameters (Å, degrees): 4.1445 4.1445 11.3153 79.45 79.45 60.00
Closest atoms and distances in Å follow each position.
Fractional positions:
Tm  0.5701  0.5701  0.2898  3 Se 2.74
Tm  0.4299  0.4299  0.7102  3 Se 2.74
Se  0.2770  0.2770  0.1690  3 Tm 2.74
Se  0.7230  0.7230  0.8310  3 Tm 2.74
Ga  0.8398  0.8398  0.4807  3 Ga 2.43
Ga  0.1602  0.1602  0.5193  3 Ga 2.43

## Properties
N(E_F) ... 0.199 states/eV/atom
DFT total energy ... -4.73 eV/atom
ΔE_f (raw) ... -102.8 kJ per mole of atoms

=====

Record 3
## TmGa2Se4 (PBE)

Data for a relaxed structure of TmGa2Se4.

Lattice parameters (Å, degrees): 5.7234 5.7234 6.2658 90.00 90.00 90.00
Closest atoms and distances in Å follow each position.
Fractional positions:
Tm  0.0000  0.0000  0.0000  4 Se 2.72
Ga  0.5000  0.0000  0.5000  4 Se 2.53
Ga  0.0000  0.5000  0.5000  4 Se 2.53
Se  0.7310  0.2690  0.7402  2 Ga 2.53, 1 Tm 2.72
Se  0.2690  0.2690  0.2598  2 Ga 2.53, 1 Tm 2.72
Se  0.2690  0.7310  0.7402  2 Ga 2.53, 1 Tm 2.72
Se  0.7310  0.7310  0.2598  2 Ga 2.53, 1 Tm 2.72

## Properties
N(E_F) ... 0.352 states/eV/atom
DFT total energy ... -4.30 eV/atom
ΔE_f (raw) ... -77.9 kJ per mole of atoms

=====

Record 4
## Tm2GaSe (PBE)

Data for a relaxed structure of Tm2GaSe.

Lattice parameters (Å, degrees): 3.7860 3.7860 7.9977 76.31 76.31 60.00
Closest atoms and distances in Å follow each position.
Fractional positions:
Tm  0.0839  0.0839  0.7483  3 Se 2.89, 3 Ga 2.91
Tm  0.2497  0.2497  0.2509  3 Se 2.92, 3 Ga 2.93
Ga  0.6674  0.6674  0.9978  6 Tm 2.91-2.93
Se  0.4990  0.4990  0.5031  6 Tm 2.89-2.92

## Properties
N(E_F) ... 0.553 states/eV/atom
DFT total energy ... -4.92 eV/atom
ΔE_f (raw) ... -101.7 kJ per mole of atoms

=====

Record 5
## Tm2GaSe (PBE)

Data for a relaxed structure of Tm2GaSe.

Lattice parameters (Å, degrees): 3.9790 4.1890 11.1987 100.78 90.00 90.00
Closest atoms and distances in Å follow each position.
Fractional positions:
Tm  0.7500  0.6765  0.3529  5 Se 2.86-2.91, 1 Ga 2.99
Tm  0.2500  0.3235  0.6471  5 Se 2.86-2.91, 1 Ga 2.99
Tm  0.7500  0.9344  0.8687  1 Se 2.81, 6 Ga 2.94-3.14
Tm  0.2500  0.0656  0.1313  1 Se 2.81, 6 Ga 2.94-3.14
Ga  0.2500  0.4596  0.9192  2 Ga 2.67, 4 Tm 2.94
Ga  0.7500  0.5404  0.0808  2 Ga 2.67, 4 Tm 2.94
Se  0.2500  0.1934  0.3868  6 Tm 2.81-2.91
Se  0.7500  0.8066  0.6132  6 Tm 2.81-2.91

## Properties
N(E_F) ... 0.385 states/eV/atom
DFT total energy ... -5.07 eV/atom
ΔE_f (raw) ... -115.9 kJ per mole of atoms

=====

Record 6
## Tm8GaSe6 (PBE)

Data for a relaxed structure of Tm8GaSe6.

Lattice parameters (Å, degrees): 3.9465 10.3850 10.3850 120.00 90.00 90.00
Closest atoms and distances in Å follow each position.
Fractional positions:
Tm  0.7488  0.9676  0.2739  3 Se 2.77-2.87
Tm  0.7488  0.7261  0.6938  3 Se 2.77-2.87
Tm  0.7488  0.3062  0.0324  3 Se 2.77-2.87
Tm  0.2512  0.0324  0.7261  3 Se 2.77-2.87
Tm  0.2512  0.2739  0.3062  3 Se 2.77-2.87
Tm  0.2512  0.6938  0.9676  3 Se 2.77-2.87
Tm  0.7483  0.3333  0.6667  6 Se 2.82-2.84
Tm  0.2517  0.6667  0.3333  6 Se 2.82-2.84
Ga  0.5000  0.0000  0.0000  6 Tm 3.18
Se  0.7484  0.6491  0.1302  5 Tm 2.77-2.87
Se  0.7484  0.8698  0.5189  5 Tm 2.77-2.87
Se  0.7484  0.4811  0.3509  5 Tm 2.77-2.87
Se  0.2516  0.3509  0.8698  5 Tm 2.77-2.87
Se  0.2516  0.1302  0.4811  5 Tm 2.77-2.87
Se  0.2516  0.5189  0.6491  5 Tm 2.77-2.87

## Properties
N(E_F) ... 0.640 states/eV/atom
DFT total energy ... -5.20 eV/atom
ΔE_f (raw) ... -117.9 kJ per mole of atoms

=====

Record 7
## Tm5Ga2Se2 (PBE)

Data for a relaxed structure of Tm5Ga2Se2.

Lattice parameters (Å, degrees): 7.5806 7.5349 8.2226 117.27 90.00 90.00
Closest atoms and distances in Å follow each position.
Fractional positions:
Tm  0.0000  0.0000  0.0000  2 Se 2.92, 4 Ga 2.97-3.00
Tm  0.5000  0.5000  0.0000  2 Se 2.92, 4 Ga 2.97-3.00
Tm  0.8363  0.8053  0.2740  3 Se 2.94-2.99, 3 Ga 2.98-3.01
Tm  0.1637  0.4686  0.2740  3 Se 2.94-2.99, 3 Ga 2.98-3.01
Tm  0.3363  0.9686  0.2740  3 Se 2.94-2.99, 3 Ga 2.98-3.01
Tm  0.6637  0.3053  0.2740  3 Se 2.94-2.99, 3 Ga 2.98-3.01
Tm  0.1637  0.1947  0.7260  3 Se 2.94-2.99, 3 Ga 2.98-3.01
Tm  0.8363  0.5314  0.7260  3 Se 2.94-2.99, 3 Ga 2.98-3.01
Tm  0.6637  0.0314  0.7260  3 Se 2.94-2.99, 3 Ga 2.98-3.01
Tm  0.3363  0.6947  0.7260  3 Se 2.94-2.99, 3 Ga 2.98-3.01
Ga  0.6249  0.8729  0.0000  1 Ga 2.69, 8 Tm 2.97-3.01
Ga  0.3751  0.1271  0.0000  1 Ga 2.69, 8 Tm 2.97-3.01
Ga  0.1249  0.6271  0.0000  1 Ga 2.69, 8 Tm 2.97-3.01
Ga  0.8751  0.3729  0.0000  1 Ga 2.69, 8 Tm 2.97-3.01
Se  0.0000  0.2001  0.4001  7 Tm 2.92-2.99
Se  0.5000  0.7001  0.4001  7 Tm 2.92-2.99
Se  0.0000  0.7999  0.5999  7 Tm 2.92-2.99
Se  0.5000  0.2999  0.5999  7 Tm 2.92-2.99

## Properties
N(E_F) ... 1.021 states/eV/atom
DFT total energy ... -4.94 eV/atom
ΔE_f (raw) ... -97.7 kJ per mole of atoms

=====

Record 8
## Tm2GaSe (PBE)

Data for a relaxed structure of Tm2GaSe.

Lattice parameters (Å, degrees): 3.8975 3.8975 7.5787 75.10 75.10 60.00
Closest atoms and distances in Å follow each position.
Fractional positions:
Tm  0.2491  0.2491  0.2527  3 Se 2.88, 3 Ga 2.90
Tm  0.7509  0.7509  0.7473  3 Se 2.88, 3 Ga 2.90
Ga  0.0000  0.0000  0.0000  6 Tm 2.90
Se  0.5000  0.5000  0.5000  6 Tm 2.88

## Properties
N(E_F) ... 0.366 states/eV/atom
DFT total energy ... -4.99 eV/atom
ΔE_f (raw) ... -109.0 kJ per mole of atoms

=====

Record 9
## TmGaSe3 (PBE)

Data for a relaxed structure of TmGaSe3.

Lattice parameters (Å, degrees): 7.2002 8.7948 8.7948 79.53 77.48 77.48
Closest atoms and distances in Å follow each position.
Fractional positions:
Tm  0.7500  0.3233  0.6767  8 Se 2.89-3.17
Tm  0.2500  0.0921  0.9079  6 Se 2.78-2.92
Tm  0.7500  0.9079  0.0921  6 Se 2.78-2.92
Tm  0.2500  0.6767  0.3233  8 Se 2.89-3.17
Ga  0.7521  0.3924  0.1958  4 Se 2.38-2.47
Ga  0.2521  0.1958  0.3924  4 Se 2.38-2.47
Ga  0.7479  0.8042  0.6076  4 Se 2.38-2.47
Ga  0.2479  0.6076  0.8042  4 Se 2.38-2.47
Se  0.4935  0.3403  0.4237  2 Ga 2.45-2.47
Se  0.6437  0.0035  0.7819  1 Ga 2.43
Se  0.9935  0.4237  0.3403  2 Ga 2.45-2.47
Se  0.0065  0.5763  0.6597  2 Ga 2.45-2.47
Se  0.9005  0.9132  0.3559  1 Ga 2.38
Se  0.1437  0.7819  0.0035  1 Ga 2.43
Se  0.5065  0.6597  0.5763  2 Ga 2.45-2.47
Se  0.8563  0.2181  0.9965  1 Ga 2.43
Se  0.3563  0.9965  0.2181  1 Ga 2.43
Se  0.4005  0.3559  0.9132  1 Ga 2.38
Se  0.0995  0.0868  0.6441  1 Ga 2.38
Se  0.5995  0.6441  0.0868  1 Ga 2.38

## Properties
DFT total energy ... -4.75 eV/atom
ΔE_f (raw) ... -112.0 kJ per mole of atoms

=====

Record 10
## UGaSe3 (PBE)

Data for a relaxed structure of UGaSe3.

Lattice parameters (Å, degrees): 4.0629 7.3331 10.3567 110.73 90.00 90.00
Closest atoms and distances in Å follow each position.
Fractional positions:
U  0.2500  0.0488  0.6578  6 Se 2.79-2.87
U  0.7500  0.3910  0.3422  6 Se 2.79-2.87
Ga  0.2500  0.8460  0.3079  4 Se 2.60-2.88
Ga  0.7500  0.5381  0.6921  4 Se 2.60-2.88
Se  0.7500  0.9349  0.7973  1 Ga 2.72, 2 U 2.79
Se  0.7500  0.6329  0.1849  2 Ga 2.60, 1 U 2.80
Se  0.7500  0.1415  0.5021  3 U 2.82-2.87, 3 Ga 2.88-3.13
Se  0.2500  0.4481  0.8151  2 Ga 2.60, 1 U 2.80
Se  0.2500  0.1376  0.2027  1 Ga 2.72, 2 U 2.79
Se  0.2500  0.6394  0.4979  3 U 2.82-2.87, 3 Ga 2.88-3.13

## Properties
N(E_F) ... 1.184 states/eV/atom
DFT total energy ... -5.72 eV/atom
ΔE_f (raw) ... -73.6 kJ per mole of atoms

=====

The highest ΔE_f (raw) belongs to which entry? UGaSe3